a.
Ca4Al6SO16 | SCAN | single point on PBEsol structure

Lattice parameters (Å, degrees): 9.0877 9.0877 9.0877 90.00 90.00 90.00
Closest atoms and distances in Å follow each position.
Space group I-43m (No. 217)
Symmetry-distinct sites (fractional):
Ca: 0.1864 0.1864 0.1864 (multiplicity 8)  3 O 2.25
Al: 0.0000 0.2500 0.5000 (multiplicity 12)  4 O 1.76
S: 0.0000 0.0000 0.0000 (multiplicity 2)  4 O 1.49
O: 0.0732 0.3541 0.6459 (multiplicity 24)  2 Al 1.76
O: 0.0946 0.0946 0.9054 (multiplicity 8)  1 S 1.49

Output
DOS(E_F) = 0.00 states/eV per cell

***

b.
Ca4Al6SO16 | SCAN | single point on PBEsol structure

Lattice parameters (Å, degrees): 12.9926 13.1441 9.1678 90.00 90.00 90.00
Closest atoms and distances in Å follow each position.
Space group Pcc2 (No. 27)
Symmetry-distinct sites (fractional):
Ca: 0.0069 0.2455 0.0738 (multiplicity 4)  5 O 2.27-2.44
Ca: 0.2418 0.0270 0.5960 (multiplicity 4)  4 O 2.28-2.33
Ca: 0.2459 0.4346 0.6449 (multiplicity 4)  5 O 2.29-2.54
Ca: 0.4404 0.2497 0.0000 (multiplicity 4)  4 O 2.25-2.40
Al: 0.0000 0.0000 0.0824 (multiplicity 2)  4 O 1.74
Al: 0.0000 0.5000 0.0996 (multiplicity 2)  4 O 1.74-1.76
Al: 0.1283 0.3784 0.3452 (multiplicity 4)  4 O 1.74-1.76
Al: 0.1305 0.1311 0.3307 (multiplicity 4)  4 O 1.74-1.75
Al: 0.3786 0.3779 0.3220 (multiplicity 4)  4 O 1.77-1.78
Al: 0.3809 0.1297 0.3027 (multiplicity 4)  4 O 1.75-1.77
Al: 0.5000 0.0000 0.0491 (multiplicity 2)  4 O 1.76-1.77
Al: 0.5000 0.5000 0.0735 (multiplicity 2)  4 O 1.77
S: 0.2210 0.2359 0.8240 (multiplicity 4)  4 O 1.47-1.50
O: 0.0518 0.3997 0.4996 (multiplicity 4)  2 Al 1.74-1.75
O: 0.0696 0.0949 0.4933 (multiplicity 4)  2 Al 1.74-1.75
O: 0.0889 0.2550 0.2976 (multiplicity 4)  2 Al 1.74-1.76
O: 0.0979 0.0633 0.1745 (multiplicity 4)  2 Al 1.74
O: 0.1086 0.4607 0.1989 (multiplicity 4)  2 Al 1.74-1.76
O: 0.1563 0.2725 0.7003 (multiplicity 4)  1 S 1.49
O: 0.1644 0.2374 0.9624 (multiplicity 4)  1 S 1.47
O: 0.2563 0.3952 0.4021 (multiplicity 4)  2 Al 1.76-1.77
O: 0.2581 0.1040 0.3712 (multiplicity 4)  2 Al 1.74-1.75
O: 0.2600 0.1318 0.7957 (multiplicity 4)  1 S 1.48
O: 0.3107 0.3079 0.8331 (multiplicity 4)  1 S 1.50
O: 0.3904 0.4671 0.1785 (multiplicity 4)  2 Al 1.77
O: 0.3942 0.0515 0.1465 (multiplicity 4)  2 Al 1.77
O: 0.4031 0.2563 0.2444 (multiplicity 4)  2 Al 1.77-1.78
O: 0.4648 0.1084 0.4483 (multiplicity 4)  2 Al 1.75-1.76
O: 0.4663 0.3919 0.4684 (multiplicity 4)  2 Al 1.77

Output
DOS(E_F) = 0.00 states/eV per cell

***

Pick the most stable structure from those above. Pick: b